1.
Density functional theory data (GGA-PBE) for crystalline ReN at its relaxed geometry.

Geometry as POSCAR:
```
ReN
1.0
2.787 0.000 0.000
-1.393 2.413 0.000
0.000 0.000 6.714
N Re
2 2
Cartesian
0.000 1.609 2.890
1.393 0.804 6.247
1.393 0.804 4.172
0.000 1.609 0.814
```

Calculated values
Total DFT energy (no corrections): -0.7545 Ry per atom
Excess energy over the best structure of this formula in the dataset: 0.077 eV per atom
ΔE_f (raw): 0.121 eV/atom
D(E_F): 2.210 states/eV/cell

=====

2.
Density functional theory data (GGA-PBE) for crystalline SbF4 at its relaxed geometry.

Geometry as POSCAR:
```
SbF4
1.0
-0.380 -3.426 -0.680
5.238 -2.457 0.376
-0.023 -3.401 8.065
F Sb
8 2
Cartesian
1.043 -6.985 7.378
2.499 -4.284 2.033
3.674 -6.514 3.534
2.336 -5.000 5.728
-0.132 -4.756 5.877
4.967 -4.528 1.884
1.161 -2.770 4.227
3.792 -2.298 0.383
1.292 -3.165 6.143
3.543 -6.119 1.618
```

Calculated values
Total DFT energy (no corrections): -0.3221 Ry per atom
ΔE_f (raw): -2.062 eV/atom
D(E_F): 2.102 states/eV/cell

=====

3.
Density functional theory data (GGA-PBE) for crystalline PrDyBeGa at its relaxed geometry.

Geometry as POSCAR:
```
PrDyBeGa
1.0
-3.573 -0.855 3.484
-2.482 -4.412 0.050
0.836 -3.333 3.718
Ga Pr Dy Be
1 1 1 1
Cartesian
-1.305 -2.150 1.813
0.000 0.000 0.000
-2.610 -4.300 3.626
-3.914 -6.450 5.439
```

Calculated values
Total DFT energy (no corrections): -0.3095 Ry per atom
D(E_F): 4.144 states/eV/cell
Energy relative to the elements: -0.1768 eV/atom

=====

| no. | M_tot (μB/atom) |
| --- | --- |
| 1 | 0.00 |
| 2 | 0.00 |
| 3 | 0.00 |